(1)
Density functional theory data (PBE) for an optimized crystal structure of LiErZnS3.

## Properties
Magnetic moment = 0.03 μB per cell
Energy relative to the lowest polymorph listed for this composition = 0.022 eV per atom
Crystal system = orthorhombic

```
data_LiErZnS3
_cell_length_a 3.8094
_cell_length_b 12.2746
_cell_length_c 10.4909
_cell_angle_alpha 90.00
_cell_angle_beta 90.00
_cell_angle_gamma 90.00
_symmetry_space_group_name_H-M 'C m c m'
_symmetry_Int_Tables_number 63
_symmetry_space_group_name_Hall '-C 2c 2'
loop_
_atom_site_label
_atom_site_type_symbol
_atom_site_fract_x
_atom_site_fract_y
_atom_site_fract_z
Li1 Li 0.0000 0.2365 0.2500
Er1 Er 0.0000 0.0000 0.0000
Zn1 Zn 0.0000 0.4741 0.7500
S1 S 0.0000 0.0906 0.7500
S2 S 0.0000 0.3596 0.5764
```

(2)
Density functional theory data (PBE) for an optimized crystal structure of SnB2Ir.

## Properties
Magnetic moment = 0.01 μB per cell
Energy = -81.16 eV per cell
Crystal system = cubic

```
data_SnB2Ir
_cell_length_a 6.0285
_cell_length_b 6.0285
_cell_length_c 6.0285
_cell_angle_alpha 90.00
_cell_angle_beta 90.00
_cell_angle_gamma 90.00
_symmetry_space_group_name_H-M 'F -4 3 m'
_symmetry_Int_Tables_number 216
_symmetry_space_group_name_Hall 'F -4 2 3'
loop_
_atom_site_label
_atom_site_type_symbol
_atom_site_fract_x
_atom_site_fract_y
_atom_site_fract_z
Sn1 Sn 0.0000 0.0000 0.0000
B1 B 0.0000 0.0000 0.5000
B2 B 0.2500 0.2500 0.7500
Ir1 Ir 0.2500 0.2500 0.2500
```

(3)
Density functional theory data (PBE) for an optimized crystal structure of Cu3Ag.

## Properties
Energy relative to the elements = 0.35 eV per formula unit
Crystal system = trigonal

```
data_Cu3Ag
_cell_length_a 2.6852
_cell_length_b 2.6852
_cell_length_c 51.5096
_cell_angle_alpha 90.00
_cell_angle_beta 90.00
_cell_angle_gamma 120.00
_symmetry_space_group_name_H-M 'R -3 m'
_symmetry_Int_Tables_number 166
_symmetry_space_group_name_Hall '-R 3 2"'
loop_
_atom_site_label
_atom_site_type_symbol
_atom_site_fract_x
_atom_site_fract_y
_atom_site_fract_z
Cu1 Cu 0.0000 0.0000 0.0594
Cu2 Cu 0.0000 0.0000 0.3136
Cu3 Cu 0.0000 0.0000 0.4317
Ag1 Ag 0.0000 0.0000 0.1912
```

(4)
Density functional theory data (PBE) for an optimized crystal structure of Ta2Nb.

## Properties
Energy relative to the elements = -0.01 eV per formula unit
Magnetic moment = 0.00 μB per cell
Energy relative to the lowest polymorph listed for this composition = 0.000 eV per atom
Crystal system = trigonal

```
data_Ta2Nb
_cell_length_a 4.6863
_cell_length_b 4.6863
_cell_length_c 2.8725
_cell_angle_alpha 90.00
_cell_angle_beta 90.00
_cell_angle_gamma 120.00
_symmetry_space_group_name_H-M 'P -3 m 1'
_symmetry_Int_Tables_number 164
_symmetry_space_group_name_Hall '-P 3 2"'
loop_
_atom_site_label
_atom_site_type_symbol
_atom_site_fract_x
_atom_site_fract_y
_atom_site_fract_z
Ta1 Ta 0.3333 0.6667 0.3106
Nb1 Nb 0.0000 0.0000 0.0000
```

(5)
Density functional theory data (PBE) for an optimized crystal structure of CsRbAg.

## Properties
Energy relative to the lowest polymorph listed for this composition = 0.000 eV per atom
Crystal system = cubic

```
data_CsRbAg
_cell_length_a 8.8313
_cell_length_b 8.8313
_cell_length_c 8.8313
_cell_angle_alpha 90.00
_cell_angle_beta 90.00
_cell_angle_gamma 90.00
_symmetry_space_group_name_H-M 'F -4 3 m'
_symmetry_Int_Tables_number 216
_symmetry_space_group_name_Hall 'F -4 2 3'
loop_
_atom_site_label
_atom_site_type_symbol
_atom_site_fract_x
_atom_site_fract_y
_atom_site_fract_z
Cs1 Cs 0.0000 0.0000 0.0000
Rb1 Rb 0.0000 0.0000 0.5000
Ag1 Ag 0.2500 0.2500 0.2500
```

(6)
Density functional theory data (PBE) for an optimized crystal structure of NbAgCl3.

## Properties
Magnetic moment = 18.00 μB per cell
Energy relative to the lowest polymorph listed for this composition = 0.283 eV per atom
Crystal system = trigonal

```
data_NbAgCl3
_cell_length_a 7.3212
_cell_length_b 7.3212
_cell_length_c 16.1038
_cell_angle_alpha 90.00
_cell_angle_beta 90.00
_cell_angle_gamma 120.00
_symmetry_space_group_name_H-M 'R -3 c'
_symmetry_Int_Tables_number 167
_symmetry_space_group_name_Hall '-R 3 2"c'
loop_
_atom_site_label
_atom_site_type_symbol
_atom_site_fract_x
_atom_site_fract_y
_atom_site_fract_z
Nb1 Nb 0.0000 0.0000 0.2500
Ag1 Ag 0.0000 0.0000 0.0000
Cl1 Cl 0.0000 0.3317 0.2500
```

(7)
Density functional theory data (PBE) for an optimized crystal structure of Ta2OsW.

## Properties
Energy relative to the elements = -1.20 eV per formula unit
Magnetic moment = 0.00 μB per cell
Energy relative to the lowest polymorph listed for this composition = 0.000 eV per atom
Crystal system = cubic

```
data_Ta2OsW
_cell_length_a 6.4180
_cell_length_b 6.4180
_cell_length_c 6.4180
_cell_angle_alpha 90.00
_cell_angle_beta 90.00
_cell_angle_gamma 90.00
_symmetry_space_group_name_H-M 'F m -3 m'
_symmetry_Int_Tables_number 225
_symmetry_space_group_name_Hall '-F 4 2 3'
loop_
_atom_site_label
_atom_site_type_symbol
_atom_site_fract_x
_atom_site_fract_y
_atom_site_fract_z
Ta1 Ta 0.2500 0.2500 0.2500
Os1 Os 0.0000 0.0000 0.0000
W1 W 0.0000 0.0000 0.5000
```

(8)
Density functional theory data (PBE) for an optimized crystal structure of BiPd18.

## Properties
Energy relative to the lowest polymorph listed for this composition = 0.016 eV per atom
Crystal system = monoclinic

```
data_BiPd18
_cell_length_a 5.5948
_cell_length_b 2.8657
_cell_length_c 50.2874
_cell_angle_alpha 90.00
_cell_angle_beta 90.00
_cell_angle_gamma 90.00
_symmetry_space_group_name_H-M 'P 1 21/m 1'
_symmetry_Int_Tables_number 11
loop_
_symmetry_equiv_pos_as_xyz
'x,y,z'
'-x,-y,-z'
'-x,y+1/2,-z'
'x,-y+1/2,z'
loop_
_atom_site_label
_atom_site_type_symbol
_atom_site_fract_x
_atom_site_fract_y
_atom_site_fract_z
Bi1 Bi 0.1252 0.2500 0.3614
Pd1 Pd 0.1239 0.2500 0.7542
Pd2 Pd 0.1250 0.2500 0.0566
Pd3 Pd 0.1250 0.2500 0.1321
Pd4 Pd 0.1250 0.2500 0.2077
Pd5 Pd 0.1250 0.2500 0.2843
Pd6 Pd 0.1251 0.2500 0.8300
Pd7 Pd 0.1250 0.2500 0.9056
Pd8 Pd 0.1250 0.2500 0.9811
Pd9 Pd 0.1331 0.2500 0.6767
Pd10 Pd 0.3740 0.7500 0.2458
Pd11 Pd 0.3750 0.7500 0.0189
Pd12 Pd 0.3751 0.7500 0.0944
Pd13 Pd 0.3751 0.7500 0.1700
Pd14 Pd 0.3749 0.7500 0.7159
Pd15 Pd 0.3750 0.7500 0.7921
Pd16 Pd 0.3750 0.7500 0.8678
Pd17 Pd 0.3750 0.7500 0.9434
Pd18 Pd 0.3832 0.7500 0.3233
```

(9)
Density functional theory data (PBE) for an optimized crystal structure of TbHoAg2As4.

## Properties
Magnetic moment = 0.00 μB per cell
Energy = -39.47 eV per cell
Crystal system = tetragonal

```
data_TbHoAg2As4
_cell_length_a 3.9934
_cell_length_b 3.9934
_cell_length_c 10.2929
_cell_angle_alpha 90.00
_cell_angle_beta 90.00
_cell_angle_gamma 90.00
_symmetry_space_group_name_H-M 'P 4 m m'
_symmetry_Int_Tables_number 99
loop_
_symmetry_equiv_pos_as_xyz
'x,y,z'
'-y,x,z'
'-x,-y,z'
'y,-x,z'
'-x,y,z'
'y,x,z'
'x,-y,z'
'-y,-x,z'
loop_
_atom_site_label
_atom_site_type_symbol
_atom_site_fract_x
_atom_site_fract_y
_atom_site_fract_z
Tb1 Tb 0.0000 0.0000 0.0000
Ho1 Ho 0.5000 0.5000 0.4510
Ag1 Ag 0.0000 0.5000 0.7244
As1 As 0.0000 0.0000 0.5349
As2 As 0.0000 0.5000 0.2268
As3 As 0.5000 0.5000 0.9137
```

(10)
Density functional theory data (PBE) for an optimized crystal structure of AcNpPa.

## Properties
Energy relative to the elements = 3.73 eV per formula unit
Magnetic moment = 25.19 μB per cell
Energy relative to the lowest polymorph listed for this composition = 0.000 eV per atom
Crystal system = cubic

```
data_AcNpPa
_cell_length_a 7.4182
_cell_length_b 7.4182
_cell_length_c 7.4182
_cell_angle_alpha 90.00
_cell_angle_beta 90.00
_cell_angle_gamma 90.00
_symmetry_space_group_name_H-M 'F -4 3 m'
_symmetry_Int_Tables_number 216
_symmetry_space_group_name_Hall 'F -4 2 3'
loop_
_atom_site_label
_atom_site_type_symbol
_atom_site_fract_x
_atom_site_fract_y
_atom_site_fract_z
Ac1 Ac 0.0000 0.0000 0.0000
Np1 Np 0.0000 0.0000 0.5000
Pa1 Pa 0.2500 0.2500 0.2500
```

(11)
Density functional theory data (PBE) for an optimized crystal structure of GaAgSeO.

## Properties
Energy relative to the lowest polymorph listed for this composition = 0.000 eV per atom
Crystal system = monoclinic

```
data_GaAgSeO
_cell_length_a 5.7838
_cell_length_b 4.8865
_cell_length_c 10.4070
_cell_angle_alpha 90.00
_cell_angle_beta 95.75
_cell_angle_gamma 90.00
_symmetry_space_group_name_H-M 'P 1 21 1'
_symmetry_Int_Tables_number 4
loop_
_symmetry_equiv_pos_as_xyz
'x,y,z'
'-x,y+1/2,-z'
loop_
_atom_site_label
_atom_site_type_symbol
_atom_site_fract_x
_atom_site_fract_y
_atom_site_fract_z
Ga1 Ga 0.0783 0.0000 0.1141
Ga2 Ga 0.3911 0.9064 0.9186
Ag1 Ag 0.0862 0.9246 0.5639
Ag2 Ag 0.4154 0.6193 0.4096
Se1 Se 0.2391 0.1218 0.3497
Se2 Se 0.2526 0.2285 0.7602
O1 O 0.1358 0.7236 0.9868
O2 O 0.3822 0.1401 0.0671
```

(12)
Density functional theory data (PBE) for an optimized crystal structure of DyZn8Cu4.

## Properties
Energy relative to the elements = -2.64 eV per formula unit
Magnetic moment = 0.01 μB per cell
Crystal system = tetragonal

```
data_DyZn8Cu4
_cell_length_a 8.7702
_cell_length_b 8.7702
_cell_length_c 4.9471
_cell_angle_alpha 90.00
_cell_angle_beta 90.00
_cell_angle_gamma 90.00
_symmetry_space_group_name_H-M 'I 4/m m m'
_symmetry_Int_Tables_number 139
_symmetry_space_group_name_Hall '-I 4 2'
loop_
_atom_site_label
_atom_site_type_symbol
_atom_site_fract_x
_atom_site_fract_y
_atom_site_fract_z
Dy1 Dy 0.0000 0.0000 0.0000
Zn1 Zn 0.0000 0.2184 0.5000
Zn2 Zn 0.0000 0.3477 0.0000
Cu1 Cu 0.2500 0.2500 0.2500
```